Computed, not measured: a relaxed AgSbIr2 crystal at the PBE level of DFT.

Geometry as POSCAR:
```
AgSbIr2
1.0
-7.198 -1.296 -6.060
-5.560 -3.673 -6.768
-7.458 -3.803 -4.485
Sb Ir Ag
1 2 1
Direct
0.508 0.508 0.508 Sb
0.995 0.995 0.995 Ir
0.254 0.254 0.254 Ir
0.743 0.743 0.743 Ag
```

The uncorrected formation energy comes out at 0.442 eV/atom. The total energy is -5.732 eV per atom. The density of states at the Fermi level comes out at 6.15 states/eV/cell.

Computed, not measured: a relaxed AgSb2Ir crystal at the PBE level of DFT.

Geometry as POSCAR:
```
AgSb2Ir
1.0
-4.389 -0.004 -1.140
-0.942 -0.288 3.625
-0.128 5.882 0.469
Sb Ag Ir
2 1 1
Direct
0.000 0.749 0.937 Sb
0.500 0.251 0.423 Sb
0.000 0.751 0.414 Ag
0.500 0.748 0.726 Ir
```

Its energy above the most stable polymorph in this dataset is 0.0990 eV per atom. The uncorrected formation energy comes out at 0.155 eV/atom. The total energy is -4.834 eV per atom. The density of states at the Fermi level comes out at 2.03 states/eV/cell.

Computed, not measured: a relaxed Sr2AgSb4Ir3 crystal at the PBE level of DFT.

Geometry as POSCAR:
```
Sr2AgSb4Ir3
1.0
-0.885 3.268 3.240
-1.971 -3.251 2.741
9.456 -1.922 4.520
Sb Ag Ir Sr
4 1 3 2
Direct
0.000 0.000 0.000 Sb
0.500 0.000 0.636 Sb
0.000 0.500 0.364 Sb
0.500 0.500 0.000 Sb
0.500 0.500 0.500 Ag
0.000 0.000 0.500 Ir
0.000 0.500 0.117 Ir
0.500 0.000 0.883 Ir
0.500 0.000 0.251 Sr
0.000 0.500 0.749 Sr
```

The uncorrected formation energy comes out at -0.472 eV/atom. The total energy is -5.401 eV per atom. The density of states at the Fermi level comes out at 6.15 states/eV/cell.

Computed, not measured: a relaxed AgSbTe2Ir crystal at the PBE level of DFT.

Geometry as POSCAR:
```
AgSbTe2Ir
1.0
-4.908 -1.901 -0.447
1.858 -4.917 0.517
-0.589 0.316 5.120
Te Ir Ag Sb
2 1 1 1
Direct
0.000 0.500 0.000 Te
0.500 0.000 0.000 Te
0.500 0.500 0.500 Ir
0.000 0.000 0.000 Ag
0.000 0.000 0.500 Sb
```

Its energy above the most stable polymorph in this dataset is 0.8255 eV per atom. The uncorrected formation energy comes out at 1.393 eV/atom. The total energy is -3.031 eV per atom. The density of states at the Fermi level comes out at 4.84 states/eV/cell.

Computed, not measured: a relaxed AgSbTe2Ir crystal at the PBE level of DFT.

Geometry as POSCAR:
```
AgSbTe2Ir
1.0
-0.373 1.890 -5.117
4.411 -2.913 -1.398
-2.901 -3.818 -1.199
Ir Sb Ag Te
1 1 1 2
Direct
0.000 0.000 0.000 Ir
0.000 0.000 0.500 Sb
0.500 0.500 0.500 Ag
0.500 0.000 0.000 Te
0.000 0.500 0.000 Te
```

Its energy above the most stable polymorph in this dataset is 0.0000 eV per atom. The uncorrected formation energy comes out at 0.567 eV/atom. The total energy is -3.857 eV per atom. The density of states at the Fermi level comes out at 5.51 states/eV/cell.

Computed, not measured: a relaxed AgSb2TeIr crystal at the PBE level of DFT.

Geometry as POSCAR:
```
AgSb2TeIr
1.0
-4.519 1.240 2.201
-0.540 -4.881 1.641
2.519 1.227 4.479
Te Ir Ag Sb
1 1 1 2
Direct
0.000 0.000 0.500 Te
0.500 0.500 0.500 Ir
0.000 0.000 0.000 Ag
0.500 0.000 0.000 Sb
0.000 0.500 0.000 Sb
```

Its energy above the most stable polymorph in this dataset is 0.8138 eV per atom. The uncorrected formation energy comes out at 1.356 eV/atom. The total energy is -3.264 eV per atom. The density of states at the Fermi level comes out at 4.11 states/eV/cell.

Computed, not measured: a relaxed AgSb2TeIr crystal at the PBE level of DFT.

Geometry as POSCAR:
```
AgSb2TeIr
1.0
5.026 0.000 0.000
0.000 5.026 0.000
0.000 0.000 5.824
Ir Ag Sb Te
1 1 2 1
Direct
0.000 0.000 0.000 Ir
0.500 0.500 0.500 Ag
0.500 0.000 0.000 Sb
0.000 0.500 0.000 Sb
0.000 0.000 0.500 Te
```

Its energy above the most stable polymorph in this dataset is 0.0000 eV per atom. The uncorrected formation energy comes out at 0.542 eV/atom. The total energy is -4.078 eV per atom. The density of states at the Fermi level comes out at 3.64 states/eV/cell.

Computed, not measured: a relaxed ScAg2Ir crystal at the PBE level of DFT.

Geometry as POSCAR:
```
ScAg2Ir
1.0
-0.521 5.602 1.065
-2.163 -2.558 -4.644
-3.037 0.470 0.202
Sc Ag Ir
1 2 1
Direct
0.000 0.500 0.500 Sc
0.500 0.500 0.000 Ag
0.000 0.000 0.000 Ag
0.500 0.000 0.500 Ir
```

Its energy above the most stable polymorph in this dataset is 0.1987 eV per atom. The value obtained for the calculated formation energy is -0.100 eV/atom. The total energy is -5.324 eV per atom. The density of states at the Fermi level comes out at 2.20 states/eV/cell.

Computed, not measured: a relaxed ScAg2Ir crystal at the PBE level of DFT.

Geometry as POSCAR:
```
ScAg2Ir
1.0
-3.090 -3.759 -0.415
0.795 1.228 4.660
-2.433 2.012 -0.115
Ag Ir Sc
2 1 1
Direct
0.500 0.500 0.000 Ag
0.000 0.000 0.000 Ag
0.500 0.000 0.500 Ir
0.000 0.500 0.500 Sc
```

Its energy above the most stable polymorph in this dataset is 0.2798 eV per atom. The value obtained for the calculated formation energy is -0.019 eV/atom. The total energy is -5.243 eV per atom. The density of states at the Fermi level comes out at 2.72 states/eV/cell.

Computed, not measured: a relaxed ScAgIr crystal at the PBE level of DFT.

Geometry as POSCAR:
```
ScAgIr
1.0
5.321 -0.021 0.023
4.290 3.149 0.029
1.031 0.330 3.152
Ir Sc Ag
1 1 1
Direct
0.680 0.680 0.320 Ir
0.318 0.318 0.682 Sc
0.002 0.002 0.998 Ag
```

Its energy above the most stable polymorph in this dataset is 0.0000 eV per atom. The value obtained for the calculated formation energy is -0.362 eV/atom. The total energy is -6.377 eV per atom. The density of states at the Fermi level comes out at 1.63 states/eV/cell.

Computed, not measured: a relaxed ScAgIr2 crystal at the PBE level of DFT.

Geometry as POSCAR:
```
ScAgIr2
1.0
-1.774 -1.742 4.227
1.114 -1.499 4.535
-0.620 4.093 2.591
Sc Ir Ag
1 2 1
Direct
0.750 0.750 0.750 Sc
0.007 0.007 0.001 Ir
0.493 0.493 0.499 Ir
0.250 0.250 0.250 Ag
```

Its energy above the most stable polymorph in this dataset is 0.0817 eV per atom. The value obtained for the calculated formation energy is -0.239 eV/atom. The total energy is -6.965 eV per atom. The density of states at the Fermi level comes out at 2.05 states/eV/cell.

Computed, not measured: a relaxed ScAgIr2 crystal at the PBE level of DFT.

Geometry as POSCAR:
```
ScAgIr2
1.0
-0.110 1.157 -2.662
-2.716 -2.699 -1.061
-4.159 3.516 1.701
Ir Sc Ag
2 1 1
Direct
0.000 0.000 0.491 Ir
0.000 0.000 0.009 Ir
0.500 0.500 0.250 Sc
0.500 0.500 0.750 Ag
```

Its energy above the most stable polymorph in this dataset is 0.1467 eV per atom. The value obtained for the calculated formation energy is -0.174 eV/atom. The total energy is -6.900 eV per atom. The density of states at the Fermi level comes out at 4.74 states/eV/cell.